Record 1
ZrTi3Bi (PBE, optimized geometry); magnetization = 0.00 μB/atom; distance to the lowest polymorph of the same formula = 0.000 eV/atom; DOS(E_F) = 21.48 states/eV/cell; SG = Pnma, No. 62; energy of formation from the pure elements = 0.186 eV/atom; E_tot = -7.037 eV/atom
1.0
7.465 0.000 0.000
0.000 7.657 0.000
0.000 0.000 7.342
Zr Ti Bi
4 12 4
Cartesian
2.482 4.183 5.507
1.250 0.355 1.836
4.983 3.474 1.836
6.215 7.302 5.507
6.364 1.227 0.473
4.834 5.056 4.144
4.834 5.056 6.869
1.101 6.430 4.144
1.101 6.430 6.869
2.631 2.601 3.198
2.631 2.601 0.473
6.364 1.227 3.198
0.925 1.458 5.507
2.808 5.286 1.836
6.540 6.199 1.836
4.657 2.371 5.507
0.000 3.828 0.000
3.733 0.000 3.671
3.733 0.000 0.000
0.000 3.828 3.671

---

Record 2
ZrTi4Bi2 (PBE, optimized geometry); magnetization = 0.00 μB/atom; distance to the lowest polymorph of the same formula = 0.000 eV/atom; DOS(E_F) = 14.64 states/eV/cell; SG = P4_2/mnm, No. 136; energy of formation from the pure elements = -0.014 eV/atom; E_tot = -6.856 eV/atom
1.0
-0.201 -3.679 -0.467
3.986 0.806 -8.060
8.085 -0.937 3.905
Zr Ti Bi
2 8 4
Cartesian
-0.100 -1.839 -0.233
6.036 -0.066 -2.077
3.142 -0.268 0.764
8.929 0.137 -4.918
5.145 -2.259 0.817
6.726 -1.551 -5.438
8.476 -2.295 -0.329
3.395 -1.515 -4.292
2.012 0.212 -2.537
10.060 -0.344 -1.617
7.299 -0.603 1.609
4.773 0.471 -5.764
8.252 -1.930 -3.108
3.619 -1.880 -1.513